A plane-wave DFT calculation with PBE was carried out for TbIn3Cu8 after structural relaxation.

a = 5.0769 Å, b = 5.0769 Å, c = 8.4595 Å
α = 90.00°, β = 90.00°, γ = 120.00°
Closest atoms and distances in Å follow each position.
Fractional coordinates of all 12 atoms:
In: 0.0000 0.0000 0.9418  12 Cu 2.96-2.99, 3 In 3.10, 1 Tb 3.16
Tb: 0.0000 0.0000 0.5681  12 Cu 2.99-3.08, 4 In 3.15-3.16
Cu: 0.5006 0.4994 0.7541  6 Cu 2.53-2.64
Cu: 0.1654 0.3308 0.2470  6 Cu 2.52-2.56
Cu: 0.9988 0.4994 0.7541  6 Cu 2.53-2.64
Cu: 0.5006 0.0012 0.7541  6 Cu 2.53-2.64
Cu: 0.6692 0.8346 0.2470  6 Cu 2.52-2.56
In: 0.6667 0.3333 0.4309  12 Cu 2.98-3.10, 1 In 3.12, 3 Tb 3.15
Cu: 0.1654 0.8346 0.2470  6 Cu 2.52-2.56
Cu: 0.3333 0.6667 0.4943  6 Cu 2.56-2.64
Cu: 0.3333 0.6667 0.0003  6 Cu 2.55-2.56
In: 0.6667 0.3333 0.0616  12 Cu 2.98, 4 In 3.10-3.12

Values from the calculation:
energy of formation from the pure elements: -121 meV/atom
magnetization: 0.000 μB/cell


A plane-wave DFT calculation with PBE was carried out for YRh3Se after structural relaxation.

a = 4.9251 Å, b = 4.9251 Å, c = 4.9251 Å
α = 90.00°, β = 90.00°, γ = 90.00°
Closest atoms and distances in Å follow each position.
Fractional coordinates of all 5 atoms:
Y: 0.0000 0.0000 0.0000  6 Rh 2.46
Se: 0.5000 0.5000 0.5000  12 Rh 3.48
Rh: 0.0000 0.5000 0.0000  2 Y 2.46
Rh: 0.5000 0.0000 0.0000  2 Y 2.46
Rh: 0.0000 0.0000 0.5000  2 Y 2.46

Values from the calculation:
magnetization: 1.623 μB/cell
E_form (uncorrected): 1.244 eV/atom


A plane-wave DFT calculation with PBE was carried out for PmDyZnPd after structural relaxation.

a = 3.6041 Å, b = 3.6041 Å, c = 7.0836 Å
α = 90.00°, β = 90.00°, γ = 90.00°
Closest atoms and distances in Å follow each position.
Fractional coordinates of all 4 atoms:
Pm: 0.0000 0.0000 0.8600  4 Pd 3.16, 4 Zn 3.17, 1 Dy 3.47
Pd: 0.5000 0.5000 0.1248  4 Dy 3.01, 4 Pm 3.16, 1 Zn 3.32
Zn: 0.5000 0.5000 0.5933  4 Dy 3.08, 4 Pm 3.17, 1 Pd 3.32
Dy: 0.0000 0.0000 0.3499  4 Pd 3.01, 4 Zn 3.08

Values from the calculation:
energy of formation from the pure elements: -588 meV/atom
magnetization: 0.000 μB/cell